NaPmTm2: optimized geometry, PBE-GGA.

Output
DOS at the Fermi energy (states/eV/f.u.): 5.0
Symmetry: P4/mmm
ρ (g/cm³): 6.37
Formation enthalpy at 0 K (eV per atom): 0.161
Total moment (Bohr magnetons per cell): 0.0
E (eV/atom): -3.59

```
NaPmTm2
1.0
-3.2993 0.4813 1.2650
-1.3533 -1.2115 -3.0688
0.0452 -9.6443 3.7873
Na Tm Pm
1 2 1
Direct
0.5000 0.5000 0.5000
0.0000 0.0000 0.7687
0.0000 0.0000 0.2313
0.5000 0.5000 0.0000
```

CrPbCl2: optimized geometry, PBE-GGA.

Output
Raw formation energy (eV/atom): 0.190
DOS at the Fermi energy (states/eV/f.u.): 3.4
Symmetry: I-42d
ρ (g/cm³): 5.21
Total moment (Bohr magnetons per cell): 0.0
E (eV/atom): -4.07

```
CrPbCl2
1.0
-6.4700 0.3543 0.6847
-0.5097 -6.3076 -1.5522
-3.0498 -4.1899 4.3519
Pb Cr Cl
2 2 4
Direct
0.0000 0.0000 0.0000
0.7500 0.2500 0.5000
0.5000 0.5000 0.0000
0.2500 0.7500 0.5000
0.4978 0.1250 0.2500
0.2522 0.6250 0.2500
0.3750 0.5022 0.7500
0.8750 0.7478 0.7500
```